## Ho3MgS4 (GGA-PBE)

Data for a relaxed Ho3MgS4 crystal.

D(E_F)   3.2 states/eV/f.u.
E_tot   -5.752 eV/atom
Formation energy without anion corrections   -1.772 eV/atom

CIF file:
```
data_Ho3MgS4
_cell_length_a 7.762
_cell_length_b 10.885
_cell_length_c 3.811
_cell_angle_alpha 90.00
_cell_angle_beta 90.00
_cell_angle_gamma 90.00
_space_group_name_H-M_alt 'C m m m'
_space_group_IT_number 65
_space_group_name_Hall '-C 2 2'
loop_
_atom_site_label
_atom_site_type_symbol
_atom_site_fract_x
_atom_site_fract_y
_atom_site_fract_z
Ho1 Ho 0.000 0.000 0.000
Ho2 Ho 0.250 0.250 0.500
Mg1 Mg 0.000 0.500 0.000
S1 S 0.000 0.258 0.000
S2 S 0.236 0.500 0.500
```